1.
Density functional theory data (PBEsol) for a geometry-optimized Cs2Y2Sc structure.

Lattice parameters (Å, degrees): 4.3372 4.3372 13.7008 99.11 99.11 90.00
Last column: nearest neighbours and their distance in Å.
Sites, in units of the cell vectors:
Cs 0.3902 0.3902 0.7804  4 Sc 4.24, 4 Y 4.33, 4 Cs 4.34
Cs 0.6098 0.6098 0.2196  4 Sc 4.24, 4 Y 4.33, 4 Cs 4.34
Y 0.2500 0.7500 0.5000  4 Y 3.07
Y 0.7500 0.2500 0.5000  4 Y 3.07
Sc 0.0000 0.0000 0.0000  8 Cs 4.24, 4 Sc 4.34

## Properties
DOS at the Fermi energy (states/eV/f.u.): 8.33
DFT formation energy (eV per atom): 0.941
Total moment (μB per formula unit): 0.900
Space-group type: I4/mmm, No. 139

2.
Density functional theory data (PBEsol) for a geometry-optimized Sb2Te structure.

Lattice parameters (Å, degrees): 3.8371 5.0382 8.7919 90.00 102.60 90.00
Last column: nearest neighbours and their distance in Å.
Sites, in units of the cell vectors:
Sb 0.7777 0.7500 0.5554  6 Sb 3.03-3.31, 2 Te 3.38
Sb 0.4140 0.7500 0.8281  2 Sb 3.03, 4 Te 3.17
Sb 0.2223 0.2500 0.4446  6 Sb 3.03-3.31, 2 Te 3.38
Sb 0.5860 0.2500 0.1719  2 Sb 3.03, 4 Te 3.17
Te 0.0911 0.7500 0.1821  6 Sb 3.17-3.38
Te 0.9089 0.2500 0.8179  6 Sb 3.17-3.38

## Properties
Raw formation energy (meV/atom): 147
DOS at the Fermi energy (states/eV/f.u.): 1.68
Distance to the lowest polymorph of the same formula (eV/atom): 0.157
Total moment (μB per formula unit): 0.000
Space-group type: Cmcm, No. 63